<a>
DFT (PBE) results for a relaxed Hf2Cr2Ga crystal.

The structure belongs to space group P4/mbm (No. 127); the cell edges are 7.589, 7.589 and 3.237 Å and the angles 90.00°, 90.00° and 90.00°. The inequivalent atoms are Hf at (0.154, 0.346, 0.000), Cr at (0.138, 0.638, 0.500) and Ga at (0.000, 0.000, 0.000).

The density of states at the Fermi level comes out at 9.00 states/eV per cell.

***

<b>
DFT (PBE) results for a relaxed Hf2Cr2Ga crystal.

The structure belongs to space group I4/mmm (No. 139); the cell edges are 3.192, 3.192 and 17.113 Å and the angles 90.00°, 90.00° and 90.00°. The inequivalent atoms are Hf at (0.000, 0.000, 0.110), Cr at (0.000, 0.500, 0.250) and Ga at (0.000, 0.000, 0.500).

The density of states at the Fermi level comes out at 12.14 states/eV per cell.

***

Calculated relative energies: <a> 0.184; <b> 0.000, given in eV/atom

***

<a>
DFT (PBE) results for a relaxed RbCr2GaHg crystal.

The structure belongs to space group P4/mmm (No. 123); the cell edges are 5.204, 5.204 and 5.432 Å and the angles 90.00°, 90.00° and 90.00°. The inequivalent atoms are Rb at (0.000, 0.000, 0.000), Cr at (0.000, 0.500, 0.500), Ga at (0.500, 0.500, 0.500) and Hg at (0.500, 0.500, 0.000).

The density of states at the Fermi level comes out at 2.79 states/eV per cell.

***

<b>
DFT (PBE) results for a relaxed RbCr2GaHg crystal.

The structure belongs to space group P4/mmm (No. 123); the cell edges are 6.134, 6.134 and 6.231 Å and the angles 90.00°, 90.00° and 90.00°. The inequivalent atoms are Rb at (0.000, 0.000, 0.000), Cr at (0.000, 0.500, 0.000), Ga at (0.500, 0.500, 0.500) and Hg at (0.000, 0.000, 0.500).

The density of states at the Fermi level comes out at 2.08 states/eV per cell.

***

Calculated relative energies: <a> 0.000; <b> 1.026, given in eV/atom

***

<a>
DFT (PBE) results for a relaxed Cr3GaI crystal.

The structure belongs to space group Pm-3m (No. 221); the cell edges are 4.890, 4.890 and 4.890 Å and the angles 90.00°, 90.00° and 90.00°. The inequivalent atoms are Cr at (0.000, 0.000, 0.500), Ga at (0.000, 0.000, 0.000) and I at (0.500, 0.500, 0.500).

The density of states at the Fermi level comes out at 1.34 states/eV per cell.

***

<b>
DFT (PBE) results for a relaxed Cr3GaI crystal.

The structure belongs to space group Pm-3m (No. 221); the cell edges are 5.089, 5.089 and 5.089 Å and the angles 90.00°, 90.00° and 90.00°. The inequivalent atoms are Cr at (0.000, 0.000, 0.500), Ga at (0.500, 0.500, 0.500) and I at (0.000, 0.000, 0.000).

The density of states at the Fermi level comes out at 0.59 states/eV per cell.

***

Calculated relative energies: <a> 0.000; <b> 0.513, given in eV/atom

***

<a>
DFT (PBE) results for a relaxed CrGa2I crystal.

The structure belongs to space group I-42d (No. 122); the cell edges are 4.064, 4.064 and 22.112 Å and the angles 90.00°, 90.00° and 90.00°. The inequivalent atoms are Cr at (0.000, 0.000, 0.000), Ga at (0.240, 0.250, 0.125) and I at (0.000, 0.000, 0.500).

The density of states at the Fermi level comes out at 8.53 states/eV per cell.

***

<b>
DFT (PBE) results for a relaxed CrGa2I crystal.

The structure belongs to space group Fm-3m (No. 225); the cell edges are 6.822, 6.822 and 6.822 Å and the angles 90.00°, 90.00° and 90.00°. The inequivalent atoms are Cr at (0.000, 0.000, 0.000), Ga at (0.250, 0.250, 0.250) and I at (0.000, 0.000, 0.500).

The density of states at the Fermi level comes out at 22.11 states/eV per cell.

***

Calculated relative energies: <a> 0.000; <b> 0.713, given in eV/atom

***

<a>
DFT (PBE) results for a relaxed CrGaI2 crystal.

The structure belongs to space group I-42d (No. 122); the cell edges are 7.344, 7.344 and 12.182 Å and the angles 90.00°, 90.00° and 90.00°. The inequivalent atoms are Cr at (0.000, 0.000, 0.000), Ga at (0.000, 0.000, 0.500) and I at (0.200, 0.250, 0.125).

The density of states at the Fermi level comes out at 0.00 states/eV per cell.

***

<b>
DFT (PBE) results for a relaxed CrGaI2 crystal.

The structure belongs to space group Fm-3m (No. 225); the cell edges are 7.180, 7.180 and 7.180 Å and the angles 90.00°, 90.00° and 90.00°. The inequivalent atoms are Cr at (0.000, 0.000, 0.000), Ga at (0.000, 0.000, 0.500) and I at (0.250, 0.250, 0.250).

The density of states at the Fermi level comes out at 37.38 states/eV per cell.

***

Calculated relative energies: <a> 0.000; <b> 0.807, given in eV/atom